This record from the Alexandria database describes BaSr3Si2 after structural relaxation. The functional is PBE.

Cell and atoms, written as POSCAR:
```
BaSr3Si2
1.0
-3.9244 7.8352 3.9393
3.9244 -7.8352 3.9393
3.9244 7.8352 -3.9393
Ba Sr Si
2 6 4
direct
0.0000 0.0000 0.0000
0.5000 0.5000 0.0000
0.0078 0.2500 0.7578
0.2500 0.7500 0.5000
0.4922 0.2500 0.2422
0.5078 0.7500 0.7578
0.7500 0.2500 0.5000
0.9922 0.7500 0.2422
0.1387 0.7127 0.8514
0.3613 0.2127 0.5741
0.6387 0.7873 0.4259
0.8613 0.2873 0.1486
```

Results
- polymorph energy (0 for the lowest one) (eV per atom) = 0.134

This record from the Alexandria database describes BaSrSiTe2 after structural relaxation. The functional is PBE.

Cell and atoms, written as POSCAR:
```
BaSrSiTe2
1.0
6.3630 0.0000 0.0000
0.0000 6.3630 0.0000
0.0000 0.0000 7.0975
Ba Sr Si Te
1 1 1 2
direct
0.0000 0.0000 0.0000
0.0000 0.0000 0.5000
0.5000 0.5000 0.5000
0.0000 0.5000 0.0000
0.5000 0.0000 0.0000
```

This record from the Alexandria database describes BaSrTiSi2 after structural relaxation. The functional is PBE.

Cell and atoms, written as POSCAR:
```
BaSrTiSi2
1.0
5.6396 0.0000 0.0000
0.0000 5.6396 0.0000
0.0000 0.0000 5.0765
Ba Sr Ti Si
1 1 1 2
direct
0.0000 0.0000 0.0000
0.5000 0.5000 0.5000
0.5000 0.5000 0.0000
0.0000 0.5000 0.5000
0.5000 0.0000 0.5000
```

This record from the Alexandria database describes BaSrTlSi after structural relaxation. The functional is PBE.

Cell and atoms, written as POSCAR:
```
BaSrTlSi
1.0
0.0000 4.0575 4.0575
4.0575 0.0000 4.0575
4.0575 4.0575 0.0000
Ba Sr Tl Si
1 1 1 1
direct
0.0000 0.0000 0.0000
0.5000 0.5000 0.5000
0.7500 0.7500 0.7500
0.2500 0.2500 0.2500
```

In A^3/atom, the calculated volume values for the records above are, in order, 40.38; 57.47; 32.29; 33.40.
In states/eV per cell, the Fermi-level density of states values for the records above are, in order, 7.0; 3.9; 6.6; 3.8.
In eV per atom, the DFT total energy values for the records above are, in order, -3.195; -2.432; -3.357; -3.077.